VASP calculation (PBE-GGA) on a geometry-optimized Sb2TeAsC structure.

Cell: 5.3603 5.3603 5.4888 Å, 90.00 90.00 90.00°
Last column: nearest neighbours and their distance in Å.
Atoms (fractional coordinates):
Sb: 0.0000 0.5000 0.0000  2 As 2.68
Sb: 0.5000 0.0000 0.0000  2 As 2.68
Te: 0.0000 0.0000 0.5000  2 As 2.74
As: 0.0000 0.0000 0.0000  4 Sb 2.68, 2 Te 2.74
C: 0.5000 0.5000 0.5000  4 Te 3.79, 8 Sb 3.84

Calculated values
DFT total energy (eV/atom): -3.090
Calculated volume (Å³ per atom): 31.5
Formation energy (no corrections) (eV per formula unit): 9.81
Total moment (μB per cell): 1.53
E above lowest polymorph (eV/atom): 0.9333
Mass density (g/cm³): 4.82

***

VASP calculation (PBE-GGA) on a geometry-optimized BaCa2Ta structure.

Cell: 3.4416 3.4416 11.5270 Å, 90.00 90.00 90.00°
Last column: nearest neighbours and their distance in Å.
Atoms (fractional coordinates):
Ba: 0.0000 0.0000 0.0000  4 Ba 3.44
Ca: 0.5000 0.5000 0.3059  4 Ta 3.31, 4 Ca 3.44
Ca: 0.5000 0.5000 0.6941  4 Ta 3.31, 4 Ca 3.44
Ta: 0.0000 0.0000 0.5000  8 Ca 3.31, 4 Ta 3.44

Calculated values
DFT total energy (eV/atom): -3.789
Calculated volume (Å³ per atom): 34.1
Total moment (μB per cell): 0.00
E above lowest polymorph (eV/atom): 0.0000
Mass density (g/cm³): 4.85
Formation energy from the elements (meV per atom): 655.4

***

VASP calculation (PBE-GGA) on a geometry-optimized TaCd structure.

Cell: 2.9242 13.8281 6.0164 Å, 90.00 90.00 90.00°
Last column: nearest neighbours and their distance in Å.
Atoms (fractional coordinates):
Ta: 0.0000 0.0000 0.0000  6 Ta 2.85-2.92, 6 Cd 2.91-3.16
Ta: 0.0000 0.3459 0.7007  4 Ta 2.85-2.92, 6 Cd 2.95-3.09
Ta: 0.0000 0.6541 0.7007  4 Ta 2.85-2.92, 6 Cd 2.95-3.09
Ta: 0.5000 0.1541 0.2007  4 Ta 2.85-2.92, 6 Cd 2.95-3.09
Ta: 0.5000 0.5000 0.5000  6 Ta 2.85-2.92, 6 Cd 2.91-3.16
Ta: 0.5000 0.8459 0.2007  4 Ta 2.85-2.92, 6 Cd 2.95-3.09
Cd: 0.0000 0.0000 0.4834  6 Ta 2.91-3.11, 6 Cd 2.92-2.97
Cd: 0.0000 0.3413 0.2100  4 Cd 2.92-2.97, 6 Ta 2.95-3.16
Cd: 0.0000 0.6587 0.2100  4 Cd 2.92-2.97, 6 Ta 2.95-3.16
Cd: 0.5000 0.1587 0.7100  4 Cd 2.92-2.97, 6 Ta 2.95-3.16
Cd: 0.5000 0.5000 0.9834  6 Ta 2.91-3.11, 6 Cd 2.92-2.97
Cd: 0.5000 0.8413 0.7100  4 Cd 2.92-2.97, 6 Ta 2.95-3.16

Calculated values
DFT total energy (eV/atom): -5.891
Calculated volume (Å³ per atom): 20.3
Total moment (μB per cell): 0.00
Mass density (g/cm³): 12.01
Formation energy from the elements (meV per atom): 493.0

***

VASP calculation (PBE-GGA) on a geometry-optimized SmScU structure.

Cell: 16.0776 3.6361 5.5748 Å, 90.00 93.02 90.00°
Last column: nearest neighbours and their distance in Å.
Atoms (fractional coordinates):
Sm: 0.0954 0.0000 0.3333  6 Sc 3.32-3.49, 4 U 3.35-3.72, 3 Sm 3.64-3.67
Sm: 0.4046 0.5000 0.6667  6 Sc 3.32-3.49, 4 U 3.35-3.72, 3 Sm 3.64-3.67
Sm: 0.5954 0.5000 0.3333  6 Sc 3.32-3.49, 4 U 3.35-3.72, 3 Sm 3.64-3.67
Sm: 0.9046 0.0000 0.6667  6 Sc 3.32-3.49, 4 U 3.35-3.72, 3 Sm 3.64-3.67
Sc: 0.0839 0.5000 0.8337  3 U 3.15-3.22, 6 Sm 3.32-3.49, 1 Sc 3.35
Sc: 0.4161 0.0000 0.1663  3 U 3.15-3.22, 6 Sm 3.32-3.49, 1 Sc 3.35
Sc: 0.5839 0.0000 0.8337  3 U 3.15-3.22, 6 Sm 3.32-3.49, 1 Sc 3.35
Sc: 0.9161 0.5000 0.1663  3 U 3.15-3.22, 6 Sm 3.32-3.49, 1 Sc 3.35
U: 0.2438 0.0000 0.8439  2 U 2.52
U: 0.2562 0.5000 0.1561  2 U 2.52
U: 0.7438 0.5000 0.8439  2 U 2.52
U: 0.7562 0.0000 0.1561  2 U 2.52

Calculated values
DFT total energy (eV/atom): -7.230
Calculated volume (Å³ per atom): 27.1
Total moment (μB per cell): 3.72
Mass density (g/cm³): 8.84
Formation energy from the elements (meV per atom): 216.7

***

VASP calculation (PBE-GGA) on a geometry-optimized LiCdPt2 structure.

Cell: 2.9612 4.6157 9.4803 Å, 90.00 90.00 90.00°
Last column: nearest neighbours and their distance in Å.
Atoms (fractional coordinates):
Li: 0.0000 0.0000 0.0000  6 Pt 2.66-2.75, 2 Cd 2.91, 2 Li 2.96
Li: 0.5000 0.5000 0.5000  6 Pt 2.66-2.75, 2 Cd 2.91, 2 Li 2.96
Cd: 0.0000 0.5000 0.2357  6 Pt 2.74-2.83, 2 Li 2.91, 2 Cd 2.96
Cd: 0.5000 0.0000 0.7357  6 Pt 2.74-2.83, 2 Li 2.91, 2 Cd 2.96
Pt: 0.0000 0.0000 0.4813  4 Li 2.75, 4 Pt 2.78-2.96, 2 Cd 2.83
Pt: 0.0000 0.5000 0.7337  2 Li 2.66, 4 Cd 2.74, 4 Pt 2.78-2.96
Pt: 0.5000 0.0000 0.2337  2 Li 2.66, 4 Cd 2.74, 4 Pt 2.78-2.96
Pt: 0.5000 0.5000 0.9813  4 Li 2.75, 4 Pt 2.78-2.96, 2 Cd 2.83

Calculated values
DFT total energy (eV/atom): -4.054
Calculated volume (Å³ per atom): 16.2
Total moment (μB per cell): 0.00
Mass density (g/cm³): 13.06
Formation energy from the elements (meV per atom): -326.5

***

VASP calculation (PBE-GGA) on a geometry-optimized NpCuSi2Rh structure.

Cell: 3.9916 3.9916 10.1520 Å, 90.00 90.00 90.00°
Last column: nearest neighbours and their distance in Å.
Atoms (fractional coordinates):
Np: 0.0000 0.0000 0.0000  8 Si 3.06, 4 Cu 3.23, 4 Rh 3.23
Np: 0.5000 0.5000 0.5000  8 Si 3.06, 4 Cu 3.23, 4 Rh 3.23
Cu: 0.0000 0.5000 0.7500  4 Si 2.42
Cu: 0.5000 0.0000 0.2500  4 Si 2.42
Si: 0.0000 0.0000 0.3840  1 Si 2.35, 2 Rh 2.42, 2 Cu 2.42
Si: 0.0000 0.0000 0.6160  1 Si 2.35, 2 Cu 2.42, 2 Rh 2.42
Si: 0.5000 0.5000 0.1160  1 Si 2.35, 2 Cu 2.42, 2 Rh 2.42
Si: 0.5000 0.5000 0.8840  1 Si 2.35, 2 Rh 2.42, 2 Cu 2.42
Rh: 0.0000 0.5000 0.2500  4 Si 2.42
Rh: 0.5000 0.0000 0.7500  4 Si 2.42

Calculated values
DFT total energy (eV/atom): -7.534
Calculated volume (Å³ per atom): 16.2
Formation energy (no corrections) (eV per formula unit): -2.44
Total moment (μB per cell): 7.32
Mass density (g/cm³): 9.44

***

VASP calculation (PBE-GGA) on a geometry-optimized Ac2Pr8Sm structure.

Cell: 7.5971 7.5971 8.9675 Å, 101.30 101.30 56.03°
Last column: nearest neighbours and their distance in Å.
Atoms (fractional coordinates):
Ac: 0.1696 0.1696 0.1955  8 Pr 3.49-3.91
Ac: 0.8304 0.8304 0.8045  8 Pr 3.49-3.91
Pr: 0.2128 0.6678 0.1614  3 Pr 3.25-3.60, 1 Sm 3.54, 1 Ac 3.59
Pr: 0.2759 0.2759 0.8238  5 Pr 3.35-3.70, 2 Ac 3.65
Pr: 0.3322 0.7872 0.8386  3 Pr 3.25-3.60, 1 Sm 3.54, 1 Ac 3.59
Pr: 0.3754 0.3754 0.5121  4 Pr 3.35-3.76, 1 Ac 3.49
Pr: 0.6246 0.6246 0.4879  4 Pr 3.35-3.76, 1 Ac 3.49
Pr: 0.6678 0.2128 0.1614  3 Pr 3.25-3.60, 1 Sm 3.54, 1 Ac 3.59
Pr: 0.7241 0.7241 0.1762  5 Pr 3.35-3.70, 2 Ac 3.65
Pr: 0.7872 0.3322 0.8386  3 Pr 3.25-3.60, 1 Sm 3.54, 1 Ac 3.59
Sm: 0.0000 0.0000 0.5000  8 Pr 3.54-3.95, 2 Ac 3.92

Calculated values
DFT total energy (eV/atom): -4.504
Calculated volume (Å³ per atom): 38.0
Total moment (μB per cell): 0.00
E above lowest polymorph (eV/atom): 0.0131
Mass density (g/cm³): 6.87
Formation energy from the elements (meV per atom): 148.1

***

VASP calculation (PBE-GGA) on a geometry-optimized DyThPt4 structure.

Cell: 5.4884 5.4884 5.4884 Å, 60.00 60.00 60.00°
Last column: nearest neighbours and their distance in Å.
Atoms (fractional coordinates):
Dy: 0.0000 0.0000 0.0000  12 Pt 3.22, 4 Th 3.36
Th: 0.7500 0.7500 0.7500  12 Pt 3.22, 4 Dy 3.36
Pt: 0.3746 0.3746 0.3746  6 Pt 2.73-2.75
Pt: 0.3746 0.3746 0.8763  6 Pt 2.73-2.75
Pt: 0.3746 0.8763 0.3746  6 Pt 2.73-2.75
Pt: 0.8763 0.3746 0.3746  6 Pt 2.73-2.75

Calculated values
DFT total energy (eV/atom): -7.116
Calculated volume (Å³ per atom): 19.5
Total moment (μB per cell): 0.00
Mass density (g/cm³): 16.69
Formation energy from the elements (meV per atom): -1084.9